# CdSnAs2Ir PBE optimized geometry
data_CdSnAs2Ir
_symmetry_space_group_name_H-M 'P 4/m m m'
_symmetry_Int_Tables_number 123
_symmetry_space_group_name_Hall '-P 4 2'
_cell_length_a 5.2050
_cell_length_b 5.2050
_cell_length_c 4.9825
_cell_angle_alpha 90.00
_cell_angle_beta 90.00
_cell_angle_gamma 90.00
loop_
_atom_site_label
_atom_site_type_symbol
_atom_site_fract_x
_atom_site_fract_y
_atom_site_fract_z
Cd1 Cd 0.0000 0.0000 0.0000
Sn1 Sn 0.5000 0.5000 0.5000
As1 As 0.0000 0.5000 0.5000
Ir1 Ir 0.5000 0.5000 0.0000
# * M_tot: 0.00 μB/cell
# * total energy: -17.3 eV/cell
# * V: 135.0 Å³/cell